Entry from Alexandria: Te2WNF after structural relaxation (PBE+U).

```
Te2WNF
1.0
4.759 0.000 0.000
0.000 4.759 0.000
0.000 0.000 4.541
Te W N F
2 1 1 1
Direct
0.000 0.500 0.000
0.500 0.000 0.000
0.000 0.000 0.500
0.500 0.500 0.500
0.500 0.500 0.000
```

The symmetry is No. 123. The value obtained for the density is 7620 kg/m3. Its crystal system is tetragonal. For the volume, the calculation gives 20.57 A^3/atom. Its uncorrected energy is -3.509 eV per atom.